Entry 1:
First-principles (PBE-GGA) data for a geometry-optimized CoNiBi3 structure, as listed in Alexandria via LeMat-Bulk.

```
CoNiBi3
1.0
5.040 0.000 0.000
0.000 5.040 0.000
0.000 0.000 5.040
Bi Ni Co
3 1 1
Cartesian
2.520 0.000 0.000 Bi
0.000 0.000 2.520 Bi
0.000 2.520 0.000 Bi
2.520 2.520 2.520 Ni
0.000 0.000 0.000 Co
```

Output
**Density**: 9.66 g/cm³
**Formation enthalpy at 0 K**: 3.4 eV per formula unit
**Magnetic moment**: 0.00 μB per formula unit
**Fermi-level density of states**: 1.51 states/eV per cell
**E above lowest polymorph**: 0.0 kJ/mol of atoms

Entry 2:
First-principles (PBE-GGA) data for a geometry-optimized Pm5Nd5Y structure, as listed in Alexandria via LeMat-Bulk.

```
Pm5Nd5Y
1.0
-2.012 6.628 1.328
0.081 -3.881 7.852
5.740 0.319 7.926
Pm Y Nd
5 1 5
Cartesian
3.768 0.638 10.543 Pm
2.910 -1.781 7.889 Pm
1.181 1.958 3.255 Pm
0.041 2.428 6.563 Pm
2.628 1.107 13.851 Pm
0.000 0.000 0.000 Y
0.583 -0.911 5.240 Nd
3.226 3.977 11.866 Nd
3.232 1.422 6.079 Nd
0.576 1.644 11.027 Nd
-1.006 3.314 0.664 Nd
```

Output
**Density**: 6.52 g/cm³
**Formation enthalpy at 0 K**: 1.5 eV per formula unit
**Magnetic moment**: 0.00 μB per formula unit
**Fermi-level density of states**: 17.15 states/eV per cell
**E above lowest polymorph**: 0.0 kJ/mol of atoms

Entry 3:
First-principles (PBE-GGA) data for a geometry-optimized CrSb2Os structure, as listed in Alexandria via LeMat-Bulk.

```
CrSb2Os
1.0
6.433 0.626 -0.670
4.089 5.005 0.670
-5.201 -2.928 2.569
Cr Sb Os
1 2 1
Cartesian
5.054 2.705 0.000 Cr
3.661 0.479 0.949 Sb
0.423 0.227 0.000 Sb
1.443 2.109 1.620 Os
```

Output
**Density**: 10.45 g/cm³
**Magnetic moment**: 3.03 μB per formula unit
**ΔE_f (raw)**: 0.414 eV/atom
**Fermi-level density of states**: 3.02 states/eV per cell
**E above lowest polymorph**: 14.7 kJ/mol of atoms

Entry 4:
First-principles (PBE-GGA) data for a geometry-optimized ZnSnHg2 structure, as listed in Alexandria via LeMat-Bulk.

```
ZnSnHg2
1.0
3.461 0.000 0.000
0.000 3.461 0.000
0.000 0.000 7.802
Zn Hg Sn
1 2 1
Cartesian
1.730 1.730 0.000 Zn
0.000 0.000 6.103 Hg
0.000 0.000 1.700 Hg
1.730 1.730 3.901 Sn
```

Output
**Density**: 10.40 g/cm³
**Formation enthalpy at 0 K**: 0.5 eV per formula unit
**Magnetic moment**: 0.00 μB per formula unit
**Fermi-level density of states**: 1.23 states/eV per cell
**E above lowest polymorph**: 2.4 kJ/mol of atoms

Entry 5:
First-principles (PBE-GGA) data for a geometry-optimized Ca2Pm4Pb3O2 structure, as listed in Alexandria via LeMat-Bulk.

```
Ca2Pm4Pb3O2
1.0
4.880 0.000 0.000
0.000 4.880 0.000
-2.440 -2.440 12.781
Ca Pm O Pb
2 4 2 3
Cartesian
2.440 2.440 5.010 Ca
0.000 0.000 7.771 Ca
0.000 2.440 10.550 Pm
2.440 0.000 10.550 Pm
2.440 0.000 2.231 Pm
0.000 2.440 2.231 Pm
0.000 0.000 10.239 O
2.440 2.440 2.543 O
2.440 2.440 8.293 Pb
0.000 0.000 0.000 Pb
0.000 0.000 4.488 Pb
```

Output
**Density**: 7.17 g/cm³
**Magnetic moment**: 0.00 μB per formula unit
**ΔE_f (raw)**: -1.380 eV/atom
**Fermi-level density of states**: 3.06 states/eV per cell

Entry 6:
First-principles (PBE-GGA) data for a geometry-optimized BeIr3Au structure, as listed in Alexandria via LeMat-Bulk.

```
BeIr3Au
1.0
4.860 0.000 0.000
0.000 4.860 0.000
0.000 0.000 4.860
Au Be Ir
1 1 3
Cartesian
0.000 0.000 0.000 Au
2.430 2.430 2.430 Be
0.000 2.430 0.000 Ir
0.000 0.000 2.430 Ir
2.430 0.000 0.000 Ir
```

Output
**Density**: 11.32 g/cm³
**Formation enthalpy at 0 K**: 13.1 eV per formula unit
**Magnetic moment**: 2.80 μB per formula unit
**Fermi-level density of states**: 11.92 states/eV per cell

| no. | E_tot (eV per atom) |
| --- | --- |
| 1 | -4.22 |
| 2 | -4.78 |
| 3 | -6.86 |
| 4 | -1.35 |
| 5 | -5.38 |
| 6 | -4.09 |